Compound: CsHoZnS3
Source: Alexandria via LeMat-Bulk
Functional: GGA-PBE
Structure: optimized geometry

ΔE_f (raw)	-1.499	eV per atom
space-group type	P2_1/m (11)
density of states at the Fermi level	0.0	states/eV per cell

Cell: 9.3692 4.0250 9.9157 Å, 90.00 111.78 90.00°
Sites, in units of the cell vectors:
Cs 0.2174 0.2500 0.2426
Cs 0.7826 0.7500 0.7574
Ho 0.3328 0.7500 0.8617
Ho 0.6672 0.2500 0.1383
Zn 0.0832 0.2500 0.6115
Zn 0.9168 0.7500 0.3885
S 0.1283 0.2500 0.8560
S 0.1867 0.7500 0.5461
S 0.4764 0.7500 0.1509
S 0.5236 0.2500 0.8491
S 0.8133 0.2500 0.4539
S 0.8717 0.7500 0.1440